VASP calculation (GGA+U) on a relaxed KAl3Fe2Si2H2O12 crystal.

Properties
Its electronic total energy is -6.9715 eV per atom. Its total magnetization is 8.0 Bohr magnetons per cell.

Lattice parameters (Å, degrees): 5.3886 5.4057 10.5210 95.66 94.70 119.86
With the nearest neighbours (Å) after each atom.
Positions (direct):
K1 0.0000 0.0000 0.0000  6 O 2.91-2.97, 2 H 3.20-3.23
Al1 0.2474 0.5885 0.7691  4 O 1.76-1.79
Al2 0.7368 0.4115 0.2314  4 O 1.76-1.79
Al3 0.8196 0.1805 0.4995  6 O 1.89-1.96
Fe1 0.1542 0.8348 0.5013  6 O 2.12-2.19
Fe2 0.4878 0.5071 0.4994  6 O 2.10-2.24
Si1 0.4108 0.7579 0.2298  4 O 1.64-1.69
Si2 0.5902 0.2583 0.7710  4 O 1.63-1.69
H1 0.0531 0.0958 0.3084  1 O 0.97
H2 0.8861 0.9552 0.6904  1 O 0.97
O1 0.0703 0.6509 0.1844  1 Si 1.64, 1 Al 1.76
O2 0.0864 0.1289 0.4024  1 H 0.97
O3 0.1625 0.5110 0.5968  2 Al 1.79-1.92
O4 0.3675 0.9560 0.8191  1 Si 1.64, 1 Al 1.76
O5 0.4744 0.5001 0.1821  1 Si 1.64, 1 Al 1.76
O6 0.4860 0.8412 0.3922  1 Si 1.69
O7 0.5173 0.5093 0.8182  1 Si 1.63, 1 Al 1.76
O8 0.5537 0.2033 0.6083  1 Si 1.69
O9 0.6202 0.0485 0.1696  1 Si 1.64, 1 Al 1.77
O10 0.7799 0.4396 0.4034  2 Al 1.79-1.89
O11 0.8534 0.9113 0.5965  1 H 0.97
O12 0.9251 0.3612 0.8285  1 Si 1.64, 1 Al 1.77